# 1
{
  "formula": "AlAsBr",
  "functional": "GGA-PBEsol",
  "state": "optimized geometry",
  "magnetic_moment_mub_per_fu": 0.00,
  "formation_energy_uncorrected_ev_per_atom": 0.8181,
  "dos_at_fermi_per_ev_atom": 0.757,
  "sg": "F-43m",
  "cell": [[-3.646, -1.764, -2.358], [0.435, -4.068, -2.287], [-2.188, -3.828, 1.589]],
  "species": ["As", "Al", "Br"],
  "fractional_positions": [[0.500, 0.500, 0.500], [0.000, 0.000, 0.000], [0.250, 0.250, 0.250]]
}

# 2
{
  "formula": "AlAsBr2",
  "functional": "GGA-PBEsol",
  "state": "optimized geometry",
  "magnetic_moment_mub_per_fu": 0.00,
  "relative_energy_ev_per_atom": 0.331,
  "formation_energy_uncorrected_ev_per_atom": -0.0471,
  "dos_at_fermi_per_ev_atom": 0.462,
  "sg": "I-42d",
  "cell": [[4.818, 0.000, 0.000], [2.409, 7.237, 0.000], [2.409, 0.000, 7.237]],
  "species": ["As", "As", "Al", "Al", "Br", "Br", "Br", "Br"],
  "fractional_positions": [[0.750, 0.500, 0.500], [0.000, 0.000, 0.000], [0.250, 0.500, 0.500], [0.500, 0.000, 0.000], [0.366, 0.759, 0.259], [0.384, 0.241, 0.741], [0.375, 0.259, 0.241], [0.875, 0.741, 0.759]]
}

# 3
{
  "formula": "AlAsCBr2",
  "functional": "GGA-PBEsol",
  "state": "optimized geometry",
  "magnetic_moment_mub_per_fu": 0.94,
  "formation_energy_uncorrected_ev_per_atom": 1.3826,
  "dos_at_fermi_per_ev_atom": 0.924,
  "sg": "P4/mmm",
  "cell": [[-4.367, 0.605, -2.069], [-0.699, -4.819, 0.065], [-2.097, 0.365, 4.533]],
  "species": ["C", "As", "Al", "Br", "Br"],
  "fractional_positions": [[0.500, 0.500, 0.500], [0.000, 0.000, 0.500], [0.000, 0.000, 0.000], [0.000, 0.500, 0.000], [0.500, 0.000, 0.000]]
}